(1)
Entry from Alexandria: a geometry-optimized Li2Tl6In structure (GGA-PBE).

Geometry as CIF:
```
data_Li2Tl6In
_chemical_formula_sum 'Li4 Tl12 In2'
_cell_length_a 14.738
_cell_length_b 3.392
_cell_length_c 10.850
_cell_angle_alpha 90.00
_cell_angle_beta 116.87
_cell_angle_gamma 90.00
_space_group_name_H-M_alt 'C 1 2/m 1'
_space_group_IT_number 12
_space_group_name_Hall '-C 2y'
loop_
_atom_site_label
_atom_site_fract_x
_atom_site_fract_y
_atom_site_fract_z
Li1 0.128 0.000 0.249
Tl1 0.035 0.500 0.711
Tl2 0.167 0.000 0.551
Tl3 0.236 0.500 0.116
In1 0.000 0.500 0.000
```

## Properties
* calculated volume: 26.9 Å³ per atom
* Fermi-level density of states: 0.435 states/eV per atom
* magnetic moment: 0.00 Bohr magnetons per cell
* E_tot: -2.3594 eV/atom


(2)
Entry from Alexandria: a geometry-optimized Na3CeCl6 structure (GGA-PBE).

Geometry as CIF:
```
data_Na3CeCl6
_chemical_formula_sum 'Na12 Ce4 Cl24'
_cell_length_a 10.847
_cell_length_b 10.847
_cell_length_c 10.847
_cell_angle_alpha 90.00
_cell_angle_beta 90.00
_cell_angle_gamma 90.00
_space_group_name_H-M_alt 'F m -3 m'
_space_group_IT_number 225
_space_group_name_Hall '-F 4 2 3'
loop_
_atom_site_label
_atom_site_fract_x
_atom_site_fract_y
_atom_site_fract_z
Na1 0.000 0.000 0.000
Na2 0.250 0.250 0.250
Ce1 0.000 0.000 0.500
Cl1 0.000 0.000 0.249
```

## Properties
* calculated volume: 31.9 Å³ per atom
* formation energy (no corrections): -1.795 eV per atom
* Fermi-level density of states: 0.854 states/eV per atom
* magnetic moment: 4.00 Bohr magnetons per cell
* E_tot: -3.8918 eV/atom


(3)
Entry from Alexandria: a geometry-optimized CoAg2Au structure (GGA-PBE).

Geometry as CIF:
```
data_CoAg2Au
_chemical_formula_sum 'Co4 Ag8 Au4'
_cell_length_a 6.423
_cell_length_b 6.423
_cell_length_c 6.423
_cell_angle_alpha 90.00
_cell_angle_beta 90.00
_cell_angle_gamma 90.00
_space_group_name_H-M_alt 'F m -3 m'
_space_group_IT_number 225
_space_group_name_Hall '-F 4 2 3'
loop_
_atom_site_label
_atom_site_fract_x
_atom_site_fract_y
_atom_site_fract_z
Co1 0.000 0.000 0.000
Ag1 0.250 0.250 0.250
Au1 0.000 0.000 0.500
```

## Properties
* polymorph energy (0 for the lowest one): 0.621 eV per formula unit
* calculated volume: 16.6 Å³ per atom
* Fermi-level density of states: 1.675 states/eV per atom
* magnetic moment: 6.95 Bohr magnetons per cell
* E_tot: -3.6658 eV/atom